*1*
# PrAlRe (PBE, relaxed)
data_PrAlRe
_cell_length_a 6.507
_cell_length_b 6.507
_cell_length_c 6.507
_cell_angle_alpha 90.00
_cell_angle_beta 90.00
_cell_angle_gamma 90.00
_space_group_name_H-M_alt 'F -4 3 m'
_space_group_IT_number 216
_space_group_name_Hall 'F -4 2 3'
loop_
_atom_site_label
_atom_site_type_symbol
_atom_site_fract_x
_atom_site_fract_y
_atom_site_fract_z
Pr1 Pr 0.000 0.000 0.000
Al1 Al 0.250 0.250 0.250
Re1 Re 0.000 0.000 0.500
# V (Å³ per cell): 276

=====

*2*
# PrAlRe (PBE, relaxed)
data_PrAlRe
_cell_length_a 6.782
_cell_length_b 6.782
_cell_length_c 6.782
_cell_angle_alpha 90.00
_cell_angle_beta 90.00
_cell_angle_gamma 90.00
_space_group_name_H-M_alt 'F -4 3 m'
_space_group_IT_number 216
_space_group_name_Hall 'F -4 2 3'
loop_
_atom_site_label
_atom_site_type_symbol
_atom_site_fract_x
_atom_site_fract_y
_atom_site_fract_z
Pr1 Pr 0.000 0.000 0.000
Al1 Al 0.250 0.250 0.750
Re1 Re 0.250 0.250 0.250
# V (Å³ per cell): 312

=====

Least stable = *2*

=====

*1*
# PrAlTc (PBE, relaxed)
data_PrAlTc
_cell_length_a 6.530
_cell_length_b 6.530
_cell_length_c 6.530
_cell_angle_alpha 90.00
_cell_angle_beta 90.00
_cell_angle_gamma 90.00
_space_group_name_H-M_alt 'F -4 3 m'
_space_group_IT_number 216
_space_group_name_Hall 'F -4 2 3'
loop_
_atom_site_label
_atom_site_type_symbol
_atom_site_fract_x
_atom_site_fract_y
_atom_site_fract_z
Pr1 Pr 0.000 0.000 0.000
Al1 Al 0.250 0.250 0.250
Tc1 Tc 0.000 0.000 0.500
# V (Å³ per cell): 278

=====

*2*
# PrAlTc (PBE, relaxed)
data_PrAlTc
_cell_length_a 6.750
_cell_length_b 6.750
_cell_length_c 6.750
_cell_angle_alpha 90.00
_cell_angle_beta 90.00
_cell_angle_gamma 90.00
_space_group_name_H-M_alt 'F -4 3 m'
_space_group_IT_number 216
_space_group_name_Hall 'F -4 2 3'
loop_
_atom_site_label
_atom_site_type_symbol
_atom_site_fract_x
_atom_site_fract_y
_atom_site_fract_z
Pr1 Pr 0.000 0.000 0.000
Al1 Al 0.250 0.250 0.750
Tc1 Tc 0.250 0.250 0.250
# V (Å³ per cell): 307

=====

Least stable = *2*